# 1
Material: LiCdBO3
Method: DFT, SCAN
State: PBEsol geometry

Cell: 3.2408 8.3287 8.3287 Å, 120.00 90.00 90.00°
Sites, in units of the cell vectors:
Li 0.5000 0.7085 0.7166
Li 0.5000 0.2834 0.9919
Li 0.5000 0.0081 0.2915
Cd 0.0000 0.3685 0.3637
Cd 0.0000 0.9952 0.6315
Cd 0.0000 0.6363 0.0048
B 0.0000 0.0000 0.0000
B 0.5000 0.3333 0.6667
B 0.5000 0.6667 0.3333
O 0.0000 0.8107 0.8739
O 0.0000 0.0632 0.1893
O 0.0000 0.1261 0.9368
O 0.5000 0.7524 0.2270
O 0.5000 0.7730 0.5254
O 0.5000 0.4746 0.2476
O 0.5000 0.4179 0.8582
O 0.5000 0.1418 0.5596
O 0.5000 0.4404 0.5821

Output
Formation energy without anion corrections (meV per atom): -2161
Symmetry: P-6, No. 174
Spin magnetization (μB per formula unit): 0.000

# 2
Material: Mg3CdB
Method: DFT, SCAN
State: PBEsol geometry

Cell: 4.5836 4.5836 4.5836 Å, 90.00 90.00 90.00°
Sites, in units of the cell vectors:
Mg 0.0000 0.5000 0.0000
Mg 0.0000 0.0000 0.5000
Mg 0.5000 0.0000 0.0000
B 0.0000 0.0000 0.0000
Cd 0.5000 0.5000 0.5000

Output
Symmetry: Pm-3m, No. 221
Energy relative to the elements (eV per atom): 0.132
Spin magnetization (μB per formula unit): 0.000

# 3
Material: MgNbCd2B
Method: DFT, SCAN
State: PBEsol geometry

Cell: 4.4825 4.4438 4.4438 Å, 90.00 90.00 90.00°
Sites, in units of the cell vectors:
Nb 0.5000 0.5000 0.5000
B 0.0000 0.0000 0.0000
Mg 0.5000 0.0000 0.0000
Cd 0.0000 0.0000 0.5000
Cd 0.0000 0.5000 0.0000

Output
Symmetry: P4/mmm, No. 123
Energy relative to the elements (eV per atom): 0.847
Spin magnetization (μB per formula unit): 0.003

# 4
Material: MgTiCd2B
Method: DFT, SCAN
State: PBEsol geometry

Cell: 4.0728 5.2716 5.2716 Å, 90.00 90.00 90.00°
Sites, in units of the cell vectors:
Mg 0.5000 0.5000 0.5000
Ti 0.0000 0.0000 0.0000
B 0.5000 0.0000 0.0000
Cd 0.0000 0.0000 0.5000
Cd 0.0000 0.5000 0.0000

Output
Symmetry: P4/mmm, No. 123
Energy relative to the elements (eV per atom): 0.913
Spin magnetization (μB per formula unit): 0.709

# 5
Material: CdBMo3
Method: DFT, SCAN
State: PBEsol geometry

Cell: 4.2015 4.2015 4.2015 Å, 90.00 90.00 90.00°
Sites, in units of the cell vectors:
Mo 0.0000 0.5000 0.0000
Mo 0.0000 0.0000 0.5000
Mo 0.5000 0.0000 0.0000
B 0.0000 0.0000 0.0000
Cd 0.5000 0.5000 0.5000

Output
Symmetry: Pm-3m, No. 221
Energy relative to the elements (eV per atom): 0.398
Spin magnetization (μB per formula unit): 0.000

# 6
Material: CdBMo3
Method: DFT, SCAN
State: PBEsol geometry

Cell: 4.7544 4.7544 4.7544 Å, 90.00 90.00 90.00°
Sites, in units of the cell vectors:
Mo 0.0000 0.5000 0.0000
Mo 0.0000 0.0000 0.5000
Mo 0.5000 0.0000 0.0000
B 0.5000 0.5000 0.5000
Cd 0.0000 0.0000 0.0000

Output
Symmetry: Pm-3m, No. 221
Energy relative to the elements (eV per atom): 3.599
Spin magnetization (μB per formula unit): 0.001

# 7
Material: CdBN3
Method: DFT, SCAN
State: PBEsol geometry

Cell: 4.2146 4.2146 4.2146 Å, 90.00 90.00 90.00°
Sites, in units of the cell vectors:
B 0.5000 0.5000 0.5000
N 0.0000 0.5000 0.0000
N 0.0000 0.0000 0.5000
N 0.5000 0.0000 0.0000
Cd 0.0000 0.0000 0.0000

Output
Formation energy without anion corrections (meV per atom): 3150
Symmetry: Pm-3m, No. 221
Spin magnetization (μB per formula unit): 5.117

# 8
Material: CdBN2
Method: DFT, SCAN
State: PBEsol geometry

Cell: 4.6112 4.8385 4.6112 Å, 61.54 90.00 118.46°
Sites, in units of the cell vectors:
B 0.2500 0.5000 0.2500
B 0.5000 0.0000 0.5000
N 0.5047 0.7500 0.3750
N 0.2453 0.7500 0.8750
N 0.8750 0.2500 0.5047
N 0.3750 0.2500 0.2453
Cd 0.7500 0.5000 0.7500
Cd 0.0000 0.0000 0.0000

Output
Formation energy without anion corrections (meV per atom): -39
Symmetry: I-42d, No. 122
Spin magnetization (μB per formula unit): 1.005

# 9
Material: SrCdB2N
Method: DFT, SCAN
State: PBEsol geometry

Cell: 4.0304 4.0304 4.7014 Å, 90.00 90.00 90.00°
Sites, in units of the cell vectors:
Sr 0.0000 0.0000 0.5000
B 0.0000 0.5000 0.0000
B 0.5000 0.0000 0.0000
N 0.0000 0.0000 0.0000
Cd 0.5000 0.5000 0.5000

Output
Formation energy without anion corrections (meV per atom): 1488
Symmetry: P4/mmm, No. 123
Spin magnetization (μB per formula unit): 0.000

# 10
Material: CdBTe2N
Method: DFT, SCAN
State: PBEsol geometry

Cell: 2.6980 6.6457 6.6457 Å, 90.00 90.00 90.00°
Sites, in units of the cell vectors:
N 0.5000 0.0000 0.0000
Te 0.0000 0.0000 0.5000
Te 0.0000 0.5000 0.0000
B 0.0000 0.0000 0.0000
Cd 0.5000 0.5000 0.5000

Output
Formation energy without anion corrections (meV per atom): 51
Symmetry: P4/mmm, No. 123
Spin magnetization (μB per formula unit): 0.000

# 11
Material: YCdBN2
Method: DFT, SCAN
State: PBEsol geometry

Cell: 4.1248 4.1248 6.1941 Å, 90.00 90.00 90.00°
Sites, in units of the cell vectors:
Y 0.0000 0.0000 0.0000
B 0.5000 0.5000 0.5000
N 0.0000 0.5000 0.0000
N 0.5000 0.0000 0.0000
Cd 0.0000 0.0000 0.5000

Output
Formation energy without anion corrections (meV per atom): 1767
Symmetry: P4/mmm, No. 123
Spin magnetization (μB per formula unit): 0.000

# 12
Material: CdNiB3
Method: DFT, SCAN
State: PBEsol geometry

Cell: 3.8590 3.8590 3.8590 Å, 90.00 90.00 90.00°
Sites, in units of the cell vectors:
Ni 0.0000 0.0000 0.0000
B 0.0000 0.5000 0.0000
B 0.0000 0.0000 0.5000
B 0.5000 0.0000 0.0000
Cd 0.5000 0.5000 0.5000

Output
Symmetry: Pm-3m, No. 221
Energy relative to the elements (eV per atom): 1.095
Spin magnetization (μB per formula unit): 0.000

# 13
Material: Cd3NiB
Method: DFT, SCAN
State: PBEsol geometry

Cell: 4.7981 4.7981 4.7981 Å, 90.00 90.00 90.00°
Sites, in units of the cell vectors:
Ni 0.0000 0.0000 0.0000
B 0.5000 0.5000 0.5000
Cd 0.0000 0.5000 0.0000
Cd 0.0000 0.0000 0.5000
Cd 0.5000 0.0000 0.0000

Output
Symmetry: Pm-3m, No. 221
Energy relative to the elements (eV per atom): 1.161
Spin magnetization (μB per formula unit): 0.000

# 14
Material: CdNi3B
Method: DFT, SCAN
State: PBEsol geometry

Cell: 3.8511 3.8511 3.8511 Å, 90.00 90.00 90.00°
Sites, in units of the cell vectors:
Ni 0.0000 0.5000 0.0000
Ni 0.0000 0.0000 0.5000
Ni 0.5000 0.0000 0.0000
B 0.0000 0.0000 0.0000
Cd 0.5000 0.5000 0.5000

Output
Symmetry: Pm-3m, No. 221
Energy relative to the elements (eV per atom): -0.085
Spin magnetization (μB per formula unit): 0.302

# 15
Material: CdB2O4
Method: DFT, SCAN
State: PBEsol geometry

Cell: 7.6925 7.6925 7.6925 Å, 96.90 96.90 96.90°
Sites, in units of the cell vectors:
Cd 0.1954 0.4971 0.8401
Cd 0.3401 0.9971 0.6954
Cd 0.6954 0.3401 0.9971
Cd 0.4971 0.8401 0.1954
Cd 0.8401 0.1954 0.4971
Cd 0.9971 0.6954 0.3401
B 0.0084 0.0459 0.8151
B 0.5626 0.7147 0.8087
B 0.3151 0.5459 0.5084
B 0.0626 0.3087 0.2147
B 0.2147 0.0626 0.3087
B 0.5084 0.3151 0.5459
B 0.0459 0.8151 0.0084
B 0.8087 0.5626 0.7147
B 0.7147 0.8087 0.5626
B 0.5459 0.5084 0.3151
B 0.3087 0.2147 0.0626
B 0.8151 0.0084 0.0459
O 0.0932 0.9053 0.8701
O 0.0672 0.1242 0.6849
O 0.4019 0.2361 0.9299
O 0.4299 0.7361 0.9019
O 0.1849 0.6242 0.5672
O 0.0880 0.1779 0.3250
O 0.3701 0.4053 0.5932
O 0.2361 0.9299 0.4019
O 0.6779 0.5880 0.8250
O 0.5672 0.1849 0.6242
O 0.5880 0.8250 0.6779
O 0.8701 0.0932 0.9053
O 0.4053 0.5932 0.3701
O 0.1779 0.3250 0.0880
O 0.1242 0.6849 0.0672
O 0.3250 0.0880 0.1779
O 0.9019 0.4299 0.7361
O 0.5932 0.3701 0.4053
O 0.8250 0.6779 0.5880
O 0.7361 0.9019 0.4299
O 0.6242 0.5672 0.1849
O 0.6849 0.0672 0.1242
O 0.9299 0.4019 0.2361
O 0.9053 0.8701 0.0932

Output
Formation energy without anion corrections (meV per atom): -2188
Symmetry: R3c, No. 161
Spin magnetization (μB per formula unit): 0.000

# 16
Material: Cd3B2O6
Method: DFT, SCAN
State: PBEsol geometry

Cell: 4.7858 5.9782 9.0568 Å, 90.00 90.00 90.00°
Sites, in units of the cell vectors:
Cd 0.0000 0.5000 0.1887
Cd 0.5000 0.0000 0.3113
Cd 0.0000 0.5000 0.8113
Cd 0.5000 0.0000 0.6887
Cd 0.5000 0.5000 0.5000
Cd 0.0000 0.0000 0.0000
B 0.0348 0.2398 0.5000
B 0.4652 0.7398 0.0000
B 0.9652 0.7602 0.5000
B 0.5348 0.2602 0.0000
O 0.3197 0.7835 0.8690
O 0.8197 0.7165 0.6310
O 0.3197 0.7835 0.1310
O 0.6803 0.2165 0.1310
O 0.8197 0.7165 0.3690
O 0.1803 0.2835 0.3690
O 0.7427 0.6765 0.0000
O 0.2427 0.8235 0.5000
O 0.7573 0.1765 0.5000
O 0.2573 0.3235 0.0000
O 0.6803 0.2165 0.8690
O 0.1803 0.2835 0.6310

Output
Formation energy without anion corrections (meV per atom): -1917
Symmetry: Pnnm, No. 58
Spin magnetization (μB per formula unit): 0.000

# 17
Material: Cd2BO
Method: DFT, SCAN
State: PBEsol geometry

Cell: 5.7528 5.6288 5.7528 Å, 59.27 90.00 120.73°
Sites, in units of the cell vectors:
B 0.2500 0.5000 0.2500
B 0.5000 0.0000 0.5000
O 0.7500 0.5000 0.7500
O 0.0000 0.0000 0.0000
Cd 0.1104 0.7500 0.8750
Cd 0.6396 0.7500 0.3750
Cd 0.3750 0.2500 0.1104
Cd 0.8750 0.2500 0.6396

Output
Formation energy without anion corrections (meV per atom): 223
Symmetry: I-42d, No. 122
Spin magnetization (μB per formula unit): 0.000

# 18
Material: CdBO3
Method: DFT, SCAN
State: PBEsol geometry

Cell: 4.0944 4.0944 4.0944 Å, 90.00 90.00 90.00°
Sites, in units of the cell vectors:
B 0.5000 0.5000 0.5000
O 0.0000 0.5000 0.0000
O 0.0000 0.0000 0.5000
O 0.5000 0.0000 0.0000
Cd 0.0000 0.0000 0.0000

Output
Formation energy without anion corrections (meV per atom): 1253
Symmetry: Pm-3m, No. 221
Spin magnetization (μB per formula unit): 1.858

# 19
Material: CdB2O4
Method: DFT, SCAN
State: PBEsol geometry

Cell: 7.1768 8.8852 8.8852 Å, 120.00 90.00 90.00°
Sites, in units of the cell vectors:
Cd 0.4352 0.0000 0.0000
Cd 0.9352 0.0000 0.0000
Cd 0.4588 0.9565 0.4799
Cd 0.9588 0.4799 0.5234
Cd 0.9588 0.4766 0.9565
Cd 0.4588 0.5234 0.0435
Cd 0.4588 0.5201 0.4766
Cd 0.9588 0.0435 0.5201
B 0.1548 0.8233 0.1522
B 0.6548 0.1522 0.3290
B 0.6548 0.6710 0.8233
B 0.1548 0.3290 0.1767
B 0.1548 0.8478 0.6710
B 0.6548 0.1767 0.8478
B 0.2684 0.1530 0.3272
B 0.7684 0.3272 0.1743
B 0.7459 0.6667 0.3333
B 0.2459 0.3333 0.6667
B 0.1344 0.6667 0.3333
B 0.6344 0.3333 0.6667
B 0.7684 0.8470 0.6728
B 0.2684 0.6728 0.8257
B 0.2684 0.1743 0.8470
B 0.7684 0.8257 0.1530
O 0.7802 0.2922 0.9940
O 0.2802 0.2982 0.2922
O 0.7058 0.1896 0.6930
O 0.2058 0.6930 0.5034
O 0.2058 0.4966 0.1896
O 0.7058 0.5034 0.8104
O 0.7058 0.3070 0.4966
O 0.2058 0.8104 0.3070
O 0.9392 0.6667 0.3333
O 0.4392 0.3333 0.6667
O 0.9621 0.9080 0.6694
O 0.4621 0.6694 0.7614
O 0.4621 0.2386 0.9080
O 0.9621 0.7614 0.0920
O 0.9621 0.3306 0.2386
O 0.4621 0.0920 0.3306
O 0.6712 0.9965 0.8147
O 0.1712 0.8147 0.8182
O 0.1712 0.1818 0.9965
O 0.6712 0.8182 0.0035
O 0.6712 0.1853 0.1818
O 0.1712 0.0035 0.1853
O 0.6684 0.7930 0.5076
O 0.1684 0.5076 0.7146
O 0.1684 0.2854 0.7930
O 0.6684 0.7146 0.2070
O 0.6684 0.4924 0.2854
O 0.1684 0.2070 0.4924
O 0.7802 0.7018 0.7078
O 0.2802 0.7078 0.0060
O 0.2802 0.9940 0.7018
O 0.7802 0.0060 0.2982

Output
Formation energy without anion corrections (meV per atom): -2278
Symmetry: P6_3, No. 173
Spin magnetization (μB per formula unit): 0.000

Record-wise E_tot values, in eV/atom: -11.98, -10.42, -20.43, -16.94, -28.10, -24.90, -9.99, -14.15, -13.88, -24.28, -15.09, -12.68, -21.81, -17.36, -12.22, -14.96, -18.40, -10.05, -12.31